1.
La2ZrRh, single point on PBEsol structure, DFT meta-GGA SCAN; D(E_F) = 1.1690 states/eV per atom; total moment = 0.00 μB per cell; ΔH_f (0 K) = -0.344 eV per atom; energy above the lowest structure with this stoichiometry = 0.0 meV/atom; SG = P4mm (99); calculated volume = 100 Å³/f.u.
1.0
3.399 0.000 0.000
0.000 3.399 0.000
0.000 0.000 8.646
La Zr Rh
2 1 1
direct
0.000 0.000 0.000 La
0.500 0.500 0.345 La
0.500 0.500 0.727 Zr
0.000 0.000 0.573 Rh


2.
LaZr2Rh, single point on PBEsol structure, DFT meta-GGA SCAN; D(E_F) = 0.9369 states/eV per atom; total moment = 0.00 μB per cell; ΔH_f (0 K) = -0.353 eV per atom; energy above the lowest structure with this stoichiometry = 0.0 meV/atom; SG = P4mm (99); calculated volume = 90 Å³/f.u.
1.0
3.259 0.000 0.000
0.000 3.259 0.000
0.000 0.000 8.431
La Zr Rh
1 2 1
direct
0.000 0.000 0.000 La
0.000 0.000 0.424 Zr
0.500 0.500 0.669 Zr
0.500 0.500 0.254 Rh


3.
La2ZrRh, single point on PBEsol structure, DFT meta-GGA SCAN; D(E_F) = 0.9581 states/eV per atom; total moment = 0.00 μB per cell; ΔH_f (0 K) = -0.023 eV per atom; energy above the lowest structure with this stoichiometry = 321.3 meV/atom; SG = Pmmm (47); calculated volume = 90 Å³/f.u.
1.0
3.408 0.000 0.000
0.000 5.007 0.000
0.000 0.000 5.286
La Zr Rh
2 1 1
direct
0.000 0.000 0.000 La
0.500 0.000 0.500 La
0.000 0.500 0.500 Zr
0.500 0.500 0.000 Rh


4.
LaZrRh, single point on PBEsol structure, DFT meta-GGA SCAN; D(E_F) = 0.9891 states/eV per atom; total moment = 0.00 μB per cell; ΔH_f (0 K) = 0.444 eV per atom; energy above the lowest structure with this stoichiometry = 783.4 meV/atom; SG = F-43m (216); calculated volume = 67 Å³/f.u.
1.0
6.441 0.000 0.000
0.000 6.441 0.000
0.000 0.000 6.441
La Zr Rh
4 4 4
direct
0.000 0.000 0.000 La
0.000 0.500 0.500 La
0.500 0.000 0.500 La
0.500 0.500 0.000 La
0.250 0.250 0.250 Zr
0.250 0.750 0.750 Zr
0.750 0.250 0.750 Zr
0.750 0.750 0.250 Zr
0.250 0.250 0.750 Rh
0.250 0.750 0.250 Rh
0.750 0.250 0.250 Rh
0.750 0.750 0.750 Rh


5.
LaZr2Rh, single point on PBEsol structure, DFT meta-GGA SCAN; D(E_F) = 1.0968 states/eV per atom; total moment = 0.00 μB per cell; ΔH_f (0 K) = -0.094 eV per atom; energy above the lowest structure with this stoichiometry = 259.8 meV/atom; SG = P4/mmm (123); calculated volume = 87 Å³/f.u.
1.0
4.050 0.000 0.000
0.000 4.050 0.000
0.000 0.000 5.284
La Zr Rh
1 2 1
direct
0.000 0.000 0.000 La
0.000 0.500 0.500 Zr
0.500 0.000 0.500 Zr
0.500 0.500 0.000 Rh


6.
La3Ru2, single point on PBEsol structure, DFT meta-GGA SCAN; D(E_F) = 0.3923 states/eV per atom; total moment = 0.00 μB per cell; ΔH_f (0 K) = -0.215 eV per atom; SG = P-3m1 (164); calculated volume = 126 Å³/f.u.
1.0
4.841 0.000 0.000
-2.420 4.192 0.000
0.000 0.000 6.205
La Ru
3 2
direct
0.000 0.000 0.000 La
0.333 0.667 0.336 La
0.667 0.333 0.664 La
0.333 0.667 0.818 Ru
0.667 0.333 0.182 Ru


7.
LaRu3S, single point on PBEsol structure, DFT meta-GGA SCAN; D(E_F) = 0.9528 states/eV per atom; total moment = 4.39 μB per cell; raw formation energy = 2.062 eV per atom; SG = Pm-3m (221); calculated volume = 106 Å³/f.u.
1.0
4.735 0.000 0.000
0.000 4.735 0.000
0.000 0.000 4.735
La Ru S
1 3 1
direct
0.000 0.000 0.000 La
0.000 0.000 0.500 Ru
0.000 0.500 0.000 Ru
0.500 0.000 0.000 Ru
0.500 0.500 0.500 S


8.
LaSb2Ru, single point on PBEsol structure, DFT meta-GGA SCAN; D(E_F) = 0.4213 states/eV per atom; total moment = 0.00 μB per cell; raw formation energy = -0.685 eV per atom; SG = R3m (160); calculated volume = 98 Å³/f.u.
1.0
4.334 0.000 0.000
-2.167 3.754 0.000
0.000 0.000 18.069
La Sb Ru
3 6 3
direct
0.000 0.000 0.000 La
0.333 0.667 0.667 La
0.667 0.333 0.333 La
0.000 0.000 0.215 Sb
0.000 0.000 0.436 Sb
0.333 0.667 0.103 Sb
0.333 0.667 0.882 Sb
0.667 0.333 0.548 Sb
0.667 0.333 0.769 Sb
0.000 0.000 0.816 Ru
0.333 0.667 0.483 Ru
0.667 0.333 0.149 Ru


9.
La2SbRu, single point on PBEsol structure, DFT meta-GGA SCAN; D(E_F) = 0.9966 states/eV per atom; total moment = 0.00 μB per cell; raw formation energy = -0.446 eV per atom; SG = R-3m (166); calculated volume = 113 Å³/f.u.
1.0
4.142 0.000 0.000
-2.071 3.587 0.000
0.000 0.000 22.726
La Sb Ru
6 3 3
direct
0.000 0.000 0.235 La
0.000 0.000 0.765 La
0.333 0.667 0.432 La
0.333 0.667 0.902 La
0.667 0.333 0.098 La
0.667 0.333 0.568 La
0.000 0.000 0.000 Sb
0.333 0.667 0.667 Sb
0.667 0.333 0.333 Sb
0.000 0.000 0.500 Ru
0.333 0.667 0.167 Ru
0.667 0.333 0.833 Ru


10.
La2SbRu, single point on PBEsol structure, DFT meta-GGA SCAN; D(E_F) = 0.6285 states/eV per atom; total moment = 0.00 μB per cell; raw formation energy = -0.741 eV per atom; SG = Amm2 (38); calculated volume = 106 Å³/f.u.
1.0
4.293 0.000 0.000
0.000 4.611 0.000
0.000 0.000 10.666
La Sb Ru
4 2 2
direct
0.000 0.000 0.000 La
0.000 0.500 0.500 La
0.500 0.000 0.308 La
0.500 0.500 0.808 La
0.500 0.000 0.604 Sb
0.500 0.500 0.104 Sb
0.000 0.000 0.775 Ru
0.000 0.500 0.275 Ru


11.
LaSb2Ru, single point on PBEsol structure, DFT meta-GGA SCAN; D(E_F) = 0.6713 states/eV per atom; total moment = 0.00 μB per cell; raw formation energy = -0.321 eV per atom; SG = P4/mmm (123); calculated volume = 87 Å³/f.u.
1.0
3.357 0.000 0.000
0.000 3.357 0.000
0.000 0.000 7.740
La Sb Ru
1 2 1
direct
0.000 0.000 0.000 La
0.500 0.500 0.300 Sb
0.500 0.500 0.700 Sb
0.000 0.000 0.500 Ru


12.
LaSb2Ru, single point on PBEsol structure, DFT meta-GGA SCAN; D(E_F) = 0.7696 states/eV per atom; total moment = 0.00 μB per cell; raw formation energy = -0.094 eV per atom; SG = R3m (160); calculated volume = 102 Å³/f.u.
1.0
3.913 0.000 0.000
-1.956 3.388 0.000
0.000 0.000 23.016
La Sb Ru
3 6 3
direct
0.000 0.000 0.000 La
0.333 0.667 0.667 La
0.667 0.333 0.333 La
0.000 0.000 0.228 Sb
0.000 0.000 0.462 Sb
0.333 0.667 0.129 Sb
0.333 0.667 0.894 Sb
0.667 0.333 0.561 Sb
0.667 0.333 0.795 Sb
0.000 0.000 0.737 Ru
0.333 0.667 0.403 Ru
0.667 0.333 0.070 Ru


13.
La2SbRu, single point on PBEsol structure, DFT meta-GGA SCAN; D(E_F) = 0.5495 states/eV per atom; total moment = 0.00 μB per cell; raw formation energy = -0.607 eV per atom; SG = Imm2 (44); calculated volume = 102 Å³/f.u.
1.0
3.552 0.000 0.000
0.000 4.818 0.000
0.000 0.000 11.870
La Sb Ru
4 2 2
direct
0.000 0.000 0.000 La
0.000 0.500 0.207 La
0.500 0.000 0.707 La
0.500 0.500 0.500 La
0.000 0.000 0.398 Sb
0.500 0.500 0.898 Sb
0.000 0.500 0.724 Ru
0.500 0.000 0.224 Ru


14.
LaSb2Ru, single point on PBEsol structure, DFT meta-GGA SCAN; D(E_F) = 0.5855 states/eV per atom; total moment = 0.00 μB per cell; raw formation energy = -0.146 eV per atom; SG = I-4m2 (119); calculated volume = 91 Å³/f.u.
1.0
4.410 0.000 0.000
0.000 4.410 0.000
0.000 0.000 9.373
La Sb Ru
2 4 2
direct
0.000 0.000 0.000 La
0.500 0.500 0.500 La
0.000 0.000 0.500 Sb
0.000 0.500 0.750 Sb
0.500 0.000 0.250 Sb
0.500 0.500 0.000 Sb
0.000 0.500 0.250 Ru
0.500 0.000 0.750 Ru


15.
La2SbRu, single point on PBEsol structure, DFT meta-GGA SCAN; D(E_F) = 0.7067 states/eV per atom; total moment = 0.97 μB per cell; raw formation energy = -0.267 eV per atom; SG = P4mm (99); calculated volume = 102 Å³/f.u.
1.0
3.380 0.000 0.000
0.000 3.380 0.000
0.000 0.000 8.950
La Sb Ru
2 1 1
direct
0.000 0.000 0.000 La
0.500 0.500 0.372 La
0.500 0.500 0.743 Sb
0.000 0.000 0.596 Ru


16.
LaSb2Ru, single point on PBEsol structure, DFT meta-GGA SCAN; D(E_F) = 0.3968 states/eV per atom; total moment = 0.00 μB per cell; raw formation energy = -0.674 eV per atom; SG = Cmmm (65); calculated volume = 98 Å³/f.u.
1.0
5.505 0.000 0.000
0.000 8.181 0.000
0.000 0.000 4.343
La Sb Ru
2 4 2
direct
0.000 0.000 0.000 La
0.500 0.500 0.000 La
0.000 0.313 0.500 Sb
0.000 0.687 0.500 Sb
0.500 0.187 0.500 Sb
0.500 0.813 0.500 Sb
0.000 0.500 0.000 Ru
0.500 0.000 0.000 Ru


17.
LaSb2Ru, single point on PBEsol structure, DFT meta-GGA SCAN; D(E_F) = 0.4678 states/eV per atom; total moment = 0.75 μB per cell; raw formation energy = -0.428 eV per atom; SG = Imm2 (44); calculated volume = 96 Å³/f.u.
1.0
3.303 0.000 0.000
0.000 4.114 0.000
0.000 0.000 14.180
La Sb Ru
2 4 2
direct
0.000 0.000 0.000 La
0.500 0.500 0.500 La
0.000 0.000 0.375 Sb
0.000 0.500 0.171 Sb
0.500 0.000 0.671 Sb
0.500 0.500 0.875 Sb
0.000 0.500 0.730 Ru
0.500 0.000 0.230 Ru


18.
LaScRu, single point on PBEsol structure, DFT meta-GGA SCAN; D(E_F) = 0.3706 states/eV per atom; total moment = 0.00 μB per cell; ΔH_f (0 K) = -0.351 eV per atom; SG = I4mm (107); calculated volume = 69 Å³/f.u.
1.0
3.289 0.000 0.000
0.000 3.289 0.000
0.000 0.000 12.753
La Sc Ru
2 2 2
direct
0.000 0.000 0.000 La
0.500 0.500 0.500 La
0.000 0.000 0.743 Sc
0.500 0.500 0.243 Sc
0.000 0.000 0.352 Ru
0.500 0.500 0.852 Ru


19.
LaSc2Ru2, single point on PBEsol structure, DFT meta-GGA SCAN; D(E_F) = 0.4833 states/eV per atom; total moment = 0.00 μB per cell; ΔH_f (0 K) = -0.409 eV per atom; energy above the lowest structure with this stoichiometry = 0.0 meV/atom; SG = P4/mbm (127); calculated volume = 96 Å³/f.u.
1.0
7.715 0.000 0.000
0.000 7.715 0.000
0.000 0.000 3.237
La Sc Ru
2 4 4
direct
0.000 0.000 0.000 La
0.500 0.500 0.000 La
0.139 0.361 0.500 Sc
0.361 0.861 0.500 Sc
0.639 0.139 0.500 Sc
0.861 0.639 0.500 Sc
0.155 0.655 0.000 Ru
0.345 0.155 0.000 Ru
0.655 0.845 0.000 Ru
0.845 0.345 0.000 Ru


20.
LaSc2Ru2, single point on PBEsol structure, DFT meta-GGA SCAN; D(E_F) = 0.4854 states/eV per atom; total moment = 0.00 μB per cell; ΔH_f (0 K) = -0.383 eV per atom; energy above the lowest structure with this stoichiometry = 25.7 meV/atom; SG = I4/mmm (139); calculated volume = 105 Å³/f.u.
1.0
4.248 0.000 0.000
0.000 4.248 0.000
0.000 0.000 11.614
La Sc Ru
2 4 4
direct
0.000 0.000 0.000 La
0.500 0.500 0.500 La
0.000 0.500 0.250 Sc
0.000 0.500 0.750 Sc
0.500 0.000 0.250 Sc
0.500 0.000 0.750 Sc
0.000 0.000 0.392 Ru
0.000 0.000 0.608 Ru
0.500 0.500 0.108 Ru
0.500 0.500 0.892 Ru


21.
LaSc4Ru, single point on PBEsol structure, DFT meta-GGA SCAN; D(E_F) = 1.2587 states/eV per atom; total moment = 2.03 μB per cell; ΔH_f (0 K) = 0.503 eV per atom; SG = F-43m (216); calculated volume = 132 Å³/f.u.
1.0
0.000 4.041 4.041
4.041 0.000 4.041
4.041 4.041 0.000
La Sc Ru
1 4 1
direct
0.000 0.000 0.000 La
0.131 0.623 0.623 Sc
0.623 0.131 0.623 Sc
0.623 0.623 0.131 Sc
0.623 0.623 0.623 Sc
0.250 0.250 0.250 Ru


22.
La2Sc2Ru, single point on PBEsol structure, DFT meta-GGA SCAN; D(E_F) = 0.9981 states/eV per atom; total moment = 0.91 μB per cell; ΔH_f (0 K) = 0.702 eV per atom; SG = I4/mmm (139); calculated volume = 125 Å³/f.u.
1.0
3.833 0.000 0.000
0.000 3.833 0.000
0.000 0.000 16.984
La Sc Ru
4 4 2
direct
0.000 0.500 0.250 La
0.000 0.500 0.750 La
0.500 0.000 0.250 La
0.500 0.000 0.750 La
0.000 0.000 0.078 Sc
0.000 0.000 0.922 Sc
0.500 0.500 0.422 Sc
0.500 0.500 0.578 Sc
0.000 0.000 0.500 Ru
0.500 0.500 0.000 Ru


23.
LaRu2Se, single point on PBEsol structure, DFT meta-GGA SCAN; D(E_F) = 0.7485 states/eV per atom; total moment = 1.54 μB per cell; raw formation energy = -0.080 eV per atom; SG = P4mm (99); calculated volume = 76 Å³/f.u.
1.0
3.585 0.000 0.000
0.000 3.585 0.000
0.000 0.000 5.911
La Ru Se
1 2 1
direct
0.000 0.000 0.000 La
0.000 0.000 0.433 Ru
0.500 0.500 0.307 Ru
0.500 0.500 0.717 Se


24.
LaRu2Se, single point on PBEsol structure, DFT meta-GGA SCAN; D(E_F) = 0.6834 states/eV per atom; total moment = 12.23 μB per cell; raw formation energy = 0.224 eV per atom; SG = F-43m (216); calculated volume = 73 Å³/f.u.
1.0
6.621 0.000 0.000
0.000 6.621 0.000
0.000 0.000 6.621
La Ru Se
4 8 4
direct
0.000 0.000 0.000 La
0.000 0.500 0.500 La
0.500 0.000 0.500 La
0.500 0.500 0.000 La
0.000 0.000 0.500 Ru
0.000 0.500 0.000 Ru
0.250 0.250 0.250 Ru
0.250 0.750 0.750 Ru
0.500 0.000 0.000 Ru
0.500 0.500 0.500 Ru
0.750 0.250 0.750 Ru
0.750 0.750 0.250 Ru
0.250 0.250 0.750 Se
0.250 0.750 0.250 Se
0.750 0.250 0.250 Se
0.750 0.750 0.750 Se


25.
LaRu2Se, single point on PBEsol structure, DFT meta-GGA SCAN; D(E_F) = 0.8951 states/eV per atom; total moment = 0.00 μB per cell; raw formation energy = -0.011 eV per atom; SG = P4mm (99); calculated volume = 71 Å³/f.u.
1.0
3.098 0.000 0.000
0.000 3.098 0.000
0.000 0.000 7.422
La Ru Se
1 2 1
direct
0.000 0.000 0.000 La
0.000 0.000 0.507 Ru
0.500 0.500 0.714 Ru
0.500 0.500 0.311 Se


26.
La2SiRu2, single point on PBEsol structure, DFT meta-GGA SCAN; D(E_F) = 0.9769 states/eV per atom; total moment = 0.00 μB per cell; raw formation energy = -0.057 eV per atom; SG = I4/mmm (139); calculated volume = 111 Å³/f.u.
1.0
3.514 0.000 0.000
0.000 3.514 0.000
0.000 0.000 17.981
La Si Ru
4 2 4
direct
0.000 0.000 0.107 La
0.000 0.000 0.893 La
0.500 0.500 0.393 La
0.500 0.500 0.607 La
0.000 0.000 0.500 Si
0.500 0.500 0.000 Si
0.000 0.500 0.250 Ru
0.000 0.500 0.750 Ru
0.500 0.000 0.250 Ru
0.500 0.000 0.750 Ru


27.
LaSi2Ru2, single point on PBEsol structure, DFT meta-GGA SCAN; D(E_F) = 0.3880 states/eV per atom; total moment = 0.00 μB per cell; raw formation energy = -0.966 eV per atom; SG = I4/mmm (139); calculated volume = 87 Å³/f.u.
1.0
4.195 0.000 0.000
0.000 4.195 0.000
0.000 0.000 9.835
La Si Ru
2 4 4
direct
0.000 0.000 0.000 La
0.500 0.500 0.500 La
0.000 0.000 0.363 Si
0.000 0.000 0.637 Si
0.500 0.500 0.137 Si
0.500 0.500 0.863 Si
0.000 0.500 0.250 Ru
0.000 0.500 0.750 Ru
0.500 0.000 0.250 Ru
0.500 0.000 0.750 Ru


28.
La3SnRu, single point on PBEsol structure, DFT meta-GGA SCAN; D(E_F) = 0.7393 states/eV per atom; total moment = 0.00 μB per cell; ΔH_f (0 K) = -0.624 eV per atom; energy above the lowest structure with this stoichiometry = 0.0 meV/atom; SG = Pm (6); calculated volume = 145 Å³/f.u.
1.0
8.223 0.000 0.000
0.000 4.717 0.000
-3.953 0.000 7.466
La Sn Ru
6 2 2
direct
0.000 0.000 0.000 La
0.032 0.500 0.693 La
0.251 0.500 0.441 La
0.443 0.000 0.864 La
0.615 0.000 0.418 La
0.764 0.500 0.166 La
0.341 0.500 0.111 Sn
0.673 0.500 0.741 Sn
0.145 0.000 0.597 Ru
0.883 0.000 0.274 Ru


29.
La3SnRu, single point on PBEsol structure, DFT meta-GGA SCAN; D(E_F) = 0.4183 states/eV per atom; total moment = 0.00 μB per cell; ΔH_f (0 K) = -0.582 eV per atom; energy above the lowest structure with this stoichiometry = 41.6 meV/atom; SG = Pm-3m (221); calculated volume = 154 Å³/f.u.
1.0
5.357 0.000 0.000
0.000 5.357 0.000
0.000 0.000 5.357
La Sn Ru
3 1 1
direct
0.000 0.000 0.500 La
0.000 0.500 0.000 La
0.500 0.000 0.000 La
0.500 0.500 0.500 Sn
0.000 0.000 0.000 Ru


30.
LaSnTe2Ru, single point on PBEsol structure, DFT meta-GGA SCAN; D(E_F) = 0.7892 states/eV per atom; total moment = 0.00 μB per cell; raw formation energy = -0.281 eV per atom; SG = P4/mmm (123); calculated volume = 138 Å³/f.u.
1.0
5.219 0.000 0.000
0.000 5.219 0.000
0.000 0.000 5.066
La Sn Te Ru
1 1 2 1
direct
0.000 0.000 0.000 La
0.500 0.500 0.000 Sn
0.000 0.500 0.500 Te
0.500 0.000 0.500 Te
0.000 0.000 0.500 Ru